Entry 1:
Computed, not measured: a relaxed MgGa2Ge crystal at the GGA-PBE level of DFT.

crystal system	tetragonal

Cell and atoms, written as CIF:
```
data_MgGa2Ge
_chemical_formula_sum 'Mg1 Ga2 Ge1'
_cell_length_a 3.641
_cell_length_b 3.641
_cell_length_c 5.828
_cell_angle_alpha 90.00
_cell_angle_beta 90.00
_cell_angle_gamma 90.00
_symmetry_space_group_name_H-M 'P 4/m m m'
_symmetry_Int_Tables_number 123
_symmetry_space_group_name_Hall '-P 4 2'
loop_
_atom_site_label
_atom_site_type_symbol
_atom_site_fract_x
_atom_site_fract_y
_atom_site_fract_z
Mg1 Mg 0.000 0.000 0.000
Ga1 Ga 0.500 0.500 0.263
Ge1 Ge 0.000 0.000 0.500
```

---

Entry 2:
Computed, not measured: a relaxed Mg6Ga5Ge crystal at the GGA-PBE level of DFT.

crystal system	orthorhombic

Cell and atoms, written as CIF:
```
data_Mg6Ga5Ge
_chemical_formula_sum 'Mg12 Ga10 Ge2'
_cell_length_a 4.384
_cell_length_b 12.869
_cell_length_c 8.142
_cell_angle_alpha 90.00
_cell_angle_beta 90.00
_cell_angle_gamma 90.00
_symmetry_space_group_name_H-M 'C m m m'
_symmetry_Int_Tables_number 65
_symmetry_space_group_name_Hall '-C 2 2'
loop_
_atom_site_label
_atom_site_type_symbol
_atom_site_fract_x
_atom_site_fract_y
_atom_site_fract_z
Mg1 Mg 0.000 0.000 0.247
Mg2 Mg 0.000 0.334 0.255
Ga1 Ga 0.000 0.164 0.500
Ga2 Ga 0.000 0.171 0.000
Ga3 Ga 0.000 0.500 0.500
Ge1 Ge 0.000 0.500 0.000
```

---

Result set for energy relative to the elements: 0.003 -0.125 eV per atom, one per record in the order listed.